Entry from Alexandria: a relaxed structure of CsVZnO4 (GGA+U).

Properties
**Total DFT energy (no corrections)**: -83.89 eV/cell
**Space-group type**: P2_1/m, No. 11
**DOS at the Fermi energy**: 0.0000 states/eV/atom
**Volume**: 19.57 Å³ per atom

POSCAR file:
```
CsVZnO4
1.0
5.3538 0.0000 -0.6068
0.0000 5.8329 0.0000
-2.9466 0.0000 9.1079
Cs V Zn O
2 2 2 8
direct
0.5923 0.7500 0.8325
0.4077 0.2500 0.1675
0.1371 0.7500 0.3076
0.8629 0.2500 0.6924
0.8673 0.7500 0.5037
0.1327 0.2500 0.4963
0.0318 0.4886 0.6518
0.9682 0.9886 0.3482
0.9682 0.5114 0.3482
0.0318 0.0114 0.6518
0.1042 0.7500 0.1249
0.8958 0.2500 0.8751
0.4773 0.7500 0.4318
0.5227 0.2500 0.5682
```